No. 1
First-principles (PBE) data for an optimized crystal structure of Nb2Co2Cl, as listed in Alexandria via LeMat-Bulk.

**Energy above the most stable polymorph in this dataset**: 243 meV/atom
**E_tot**: -6.779 eV per atom
**Mass density**: 6.5 g cm⁻³

Unit cell a=4.2810 b=4.2810 c=5.6233 alpha=67.63 beta=67.63 gamma=90.00
Last column: nearest neighbours and their distance in Å.
Fractional positions:
Nb: 0.7500 0.2500 0.5000  4 Co 2.47
Nb: 0.2500 0.7500 0.5000  4 Co 2.47
Co: 0.3807 0.3807 0.2385  1 Co 2.26, 4 Nb 2.47
Co: 0.6193 0.6193 0.7615  1 Co 2.26, 4 Nb 2.47
Cl: 0.0000 0.0000 0.0000  8 Nb 3.19, 8 Co 3.23


No. 2
First-principles (PBE) data for an optimized crystal structure of NbCo3Cl, as listed in Alexandria via LeMat-Bulk.

**Energy above the most stable polymorph in this dataset**: 744 meV/atom
**E_tot**: -5.090 eV per atom
**Mass density**: 5.2 g cm⁻³

Unit cell a=4.6048 b=4.6048 c=4.6048 alpha=90.00 beta=90.00 gamma=90.00
Last column: nearest neighbours and their distance in Å.
Fractional positions:
Nb: 0.0000 0.0000 0.0000  6 Co 2.30
Co: 0.0000 0.5000 0.0000  2 Nb 2.30
Co: 0.0000 0.0000 0.5000  2 Nb 2.30
Co: 0.5000 0.0000 0.0000  2 Nb 2.30
Cl: 0.5000 0.5000 0.5000  12 Co 3.26


No. 3
First-principles (PBE) data for an optimized crystal structure of NbCoCl2, as listed in Alexandria via LeMat-Bulk.

**Energy above the most stable polymorph in this dataset**: 487 meV/atom
**E_tot**: -4.814 eV per atom
**Mass density**: 6.3 g cm⁻³

Unit cell a=4.3635 b=4.3635 c=4.3635 alpha=60.00 beta=60.00 gamma=60.00
Last column: nearest neighbours and their distance in Å.
Fractional positions:
Nb: 0.5000 0.5000 0.5000  8 Cl 2.67
Co: 0.0000 0.0000 0.0000  8 Cl 2.67
Cl: 0.2500 0.2500 0.2500  4 Nb 2.67, 4 Co 2.67
Cl: 0.7500 0.7500 0.7500  4 Co 2.67, 4 Nb 2.67